[1]
Crystalline Th2TiAl at its relaxed geometry, computed with PBE-GGA.

Computed properties:
ΔE to the lowest computed polymorph = 97 meV/atom
SG = No. 225

Unit cell a=5.2607 b=5.2607 c=5.2607 alpha=60.00 beta=60.00 gamma=60.00
With the nearest neighbours (Å) after each atom.
Fractional positions:
Ti1 0.0000 0.0000 0.0000  8 Th 3.22
Th1 0.7500 0.7500 0.7500  4 Al 3.22, 4 Ti 3.22
Th2 0.2500 0.2500 0.2500  4 Al 3.22, 4 Ti 3.22
Al1 0.5000 0.5000 0.5000  8 Th 3.22

---

[2]
Crystalline ThTi2Al at its relaxed geometry, computed with PBE-GGA.

Computed properties:
ΔE to the lowest computed polymorph = 0 meV/atom
SG = No. 123

Unit cell a=3.9033 b=4.5384 c=4.5384 alpha=90.00 beta=90.00 gamma=90.00
With the nearest neighbours (Å) after each atom.
Fractional positions:
Ti1 0.0000 0.5000 0.0000  4 Th 2.99, 4 Al 2.99, 4 Ti 3.21
Al1 0.5000 0.5000 0.5000  8 Ti 2.99, 4 Th 3.21
Th1 0.5000 0.0000 0.0000  8 Ti 2.99, 4 Al 3.21
Ti2 0.0000 0.0000 0.5000  4 Al 2.99, 4 Th 2.99, 4 Ti 3.21